Model one:
## AcZnW (PBE-GGA)

Data for a geometry-optimized AcZnW structure.

abc: 5.050 5.050 5.050
angles: 60.00 60.00 60.00
Fractional coordinates of all 3 atoms:
Ac 0.000 0.000 0.000
Zn 0.250 0.250 0.250
W 0.750 0.750 0.750

## Properties
- space group = F-43m


Model two:
## AcZnW (PBE-GGA)

Data for a geometry-optimized AcZnW structure.

abc: 4.803 4.803 4.803
angles: 60.00 60.00 60.00
Fractional coordinates of all 3 atoms:
Ac 0.000 0.000 0.000
Zn 0.250 0.250 0.250
W 0.500 0.500 0.500

## Properties
- space group = F-43m


Stability ranking, top entry: model two; the second entry is 0.578 eV/atom less favorable.


Model one:
## AcYZn (PBE-GGA)

Data for a geometry-optimized AcYZn structure.

abc: 5.203 5.203 5.203
angles: 60.00 60.00 60.00
Fractional coordinates of all 3 atoms:
Ac 0.000 0.000 0.000
Y 0.500 0.500 0.500
Zn 0.250 0.250 0.250

## Properties
- space group = F-43m


Model two:
## AcYZn (PBE-GGA)

Data for a geometry-optimized AcYZn structure.

abc: 5.219 5.219 5.219
angles: 60.00 60.00 60.00
Fractional coordinates of all 3 atoms:
Ac 0.000 0.000 0.000
Y 0.750 0.750 0.750
Zn 0.250 0.250 0.250

## Properties
- space group = F-43m


Stability ranking, top entry: model one; the second entry is 0.613 eV/atom less favorable.